Cd2B: optimized geometry, GGA-PBE.

a = 4.201 Å, b = 4.201 Å, c = 4.201 Å
α = 60.00°, β = 60.00°, γ = 60.00°
Sites, in units of the cell vectors:
Cd: 0.250 0.250 0.250
Cd: 0.750 0.750 0.750
B: 0.000 0.000 0.000

The total energy comes out at -6.4 eV per formula unit. Its symmetry is Fm-3m. The calculation puts the calculated density at 7.463 g/cm³.